DFT (GGA-PBE) results for Pu2MnSi4Os3 after structural relaxation.

a = 4.049 Å, b = 4.049 Å, c = 10.265 Å
α = 90.00°, β = 90.00°, γ = 90.00°
Fractional coordinates of all 10 atoms:
Pu (0.500, 0.000, 0.246)
Pu (0.000, 0.500, 0.754)
Mn (0.500, 0.500, 0.500)
Si (0.500, 0.500, 0.000)
Si (0.000, 0.000, 0.000)
Si (0.500, 0.000, 0.629)
Si (0.000, 0.500, 0.371)
Os (0.000, 0.000, 0.500)
Os (0.500, 0.000, 0.868)
Os (0.000, 0.500, 0.132)

DFT total energy	-97.3	eV per formula unit
DOS(E_F)	2.45	states/eV per atom
formation energy from raw total energies	-0.41	eV/atom
total magnetic moment	12.23	Bohr magnetons per cell
space group	No. 115

=====

DFT (GGA-PBE) results for PuMnSi2Os after structural relaxation.

a = 3.973 Å, b = 3.973 Å, c = 5.902 Å
α = 109.67°, β = 109.67°, γ = 90.00°
Fractional coordinates of all 5 atoms:
Pu (0.000, 0.000, 0.000)
Mn (0.250, 0.750, 0.500)
Si (0.618, 0.618, 0.236)
Si (0.382, 0.382, 0.764)
Os (0.750, 0.250, 0.500)

DFT total energy	-48.1	eV per formula unit
DOS(E_F)	1.96	states/eV per atom
formation energy from raw total energies	-0.51	eV/atom
total magnetic moment	7.76	Bohr magnetons per cell
space group	No. 119